This record from Alexandria describes an optimized crystal structure of TiNiO6. The functional is PBE+U.

Lattice parameters (Å, degrees): 5.718 5.718 5.718 52.04 52.04 52.04
Atoms (fractional coordinates):
Ti: 0.000 0.000 0.000
Ni: 0.791 0.791 0.791
O: 0.008 0.402 0.752
O: 0.142 0.864 0.641
O: 0.402 0.752 0.008
O: 0.641 0.142 0.864
O: 0.752 0.008 0.402
O: 0.864 0.641 0.142

As for the space group: R3. The magnetization comes out at 0.5000 μB/atom. The calculation puts the raw total energy at -45.0 eV for the cell shown. The calculation puts the volume at 13.43 Å³/atom.